# PBE Ta3NbRe, relaxed
data_Ta3NbRe
_chemical_formula_sum 'Ta12 Nb4 Re4'
_space_group_name_H-M_alt 'C 1 2/m 1'
_space_group_IT_number 12
_cell_length_a 13.5385
_cell_length_b 4.5880
_cell_length_c 5.6500
_cell_angle_alpha 90.00
_cell_angle_beta 98.31
_cell_angle_gamma 90.00
loop_
_space_group_symop_operation_xyz
'x,y,z'
'-x,-y,-z'
'-x,y,-z'
'x,-y,z'
'x+1/2,y+1/2,z'
'-x+1/2,-y+1/2,-z'
'-x+1/2,y+1/2,-z'
'x+1/2,-y+1/2,z'
loop_
_atom_site_label
_atom_site_fract_x
_atom_site_fract_y
_atom_site_fract_z
Ta1 0.0039 0.0000 0.2539
Ta2 0.1013 0.5000 0.9526
Ta3 0.1993 0.0000 0.6430
Nb1 0.1992 0.0000 0.1476
Re1 0.0981 0.5000 0.4527
# - M_tot: 0.00 Bohr magnetons per cell
# - Formation energy from the elements: -0.181 eV per atom
# - D(E_F): 22.405 states/eV per cell
# - Energy relative to the lowest polymorph listed for this composition: 0.00 kcal/mol of atoms